No. 1
The following is a DFT calculation (PBE-GGA) of La3GePd5 after structural relaxation.

Unit cell a=8.6131 b=8.6131 c=8.6131 alpha=128.44 beta=77.78 gamma=126.16
Last column: nearest neighbours and their distance in Å.
Fractional coordinates of all 18 atoms:
Ge1 0.2804 0.0304 0.2500  6 Pd 2.54-2.60
Ge2 0.7196 0.9696 0.7500  6 Pd 2.54-2.60
La1 0.3198 0.2693 0.0505  10 Pd 3.02-3.29, 1 Ge 3.26
La2 0.8821 0.6321 0.2500  4 Pd 3.01, 1 Ge 3.11
La3 0.7188 0.2693 0.4495  10 Pd 3.02-3.29, 1 Ge 3.26
La4 0.2812 0.7307 0.5505  10 Pd 3.02-3.29, 1 Ge 3.26
La5 0.1179 0.3679 0.7500  4 Pd 3.01, 1 Ge 3.11
La6 0.6802 0.7307 0.9495  10 Pd 3.02-3.29, 1 Ge 3.26
Pd1 0.5000 0.0000 0.0000  2 Ge 2.54
Pd2 0.9610 0.2685 0.1014  1 Ge 2.60
Pd3 0.3329 0.7315 0.1925  1 Ge 2.60
Pd4 0.0390 0.1404 0.3075  1 Ge 2.60
Pd5 0.6671 0.8596 0.3986  1 Ge 2.60
Pd6 0.5000 0.5000 0.5000  2 Ge 2.54
Pd7 0.3329 0.1404 0.6014  1 Ge 2.60
Pd8 0.9610 0.8596 0.6925  1 Ge 2.60
Pd9 0.6671 0.2685 0.8075  1 Ge 2.60
Pd10 0.0390 0.7315 0.8986  1 Ge 2.60

Calculated values
* space-group type: Imma, No. 74



No. 2
The following is a DFT calculation (PBE-GGA) of LaPr2Ge4Pd4 after structural relaxation.

Unit cell a=12.9975 b=12.9975 c=12.9975 alpha=161.43 beta=160.44 gamma=27.09
Last column: nearest neighbours and their distance in Å.
Fractional coordinates of all 11 atoms:
Ge1 0.4500 0.4500 0.0000  2 Pd 2.50, 1 Ge 2.53
Ge2 0.5500 0.5500 0.0000  2 Pd 2.50, 1 Ge 2.53
Ge3 0.8045 0.3045 0.5000  5 Pd 2.50-2.60
Ge4 0.1955 0.6954 0.5000  5 Pd 2.50-2.60
La1 0.0000 0.0000 0.0000  4 Pd 3.22, 8 Ge 3.30
Pd1 0.2502 0.2502 0.0000  4 Ge 2.51-2.60
Pd2 0.7498 0.7498 0.0000  4 Ge 2.51-2.60
Pd3 0.9034 0.4034 0.5000  3 Ge 2.50
Pd4 0.0966 0.5966 0.5000  3 Ge 2.50
Pr1 0.6478 0.1478 0.5000  6 Ge 3.24-3.27, 8 Pd 3.31-3.40
Pr2 0.3522 0.8522 0.5000  6 Ge 3.24-3.27, 8 Pd 3.31-3.40

Calculated values
* space-group type: Immm, No. 71



No. 3
The following is a DFT calculation (PBE-GGA) of LaPrGe4Pd2 after structural relaxation.

Unit cell a=4.4490 b=9.0111 c=9.0111 alpha=28.20 beta=90.00 gamma=90.00
Last column: nearest neighbours and their distance in Å.
Fractional coordinates of all 8 atoms:
Ge1 0.5000 0.0355 0.0355  1 Pd 2.48, 2 Ge 2.55
Ge2 0.0000 0.2492 0.2492  4 Pd 2.54-2.56
Ge3 0.5000 0.7511 0.7511  4 Pd 2.55
Ge4 0.0000 0.9640 0.9640  1 Pd 2.47, 2 Ge 2.55
La1 0.0000 0.6072 0.6072  10 Ge 3.31-3.37, 4 Pd 3.36
Pd1 0.5000 0.1772 0.1772  5 Ge 2.48-2.56
Pd2 0.0000 0.8229 0.8229  5 Ge 2.47-2.55
Pr1 0.5000 0.3927 0.3927  10 Ge 3.31-3.36, 4 Pd 3.35

Calculated values
* space-group type: Amm2, No. 38
* distance to the lowest polymorph of the same formula: 0.0000 eV/atom



Theoretical density
In order: 8.7; 8.1; 7.6
Unit: g cm⁻³
Raw total energy
In order: -5.911; -5.776; -5.638
Unit: eV per atom